(1)
Entry from the Alexandria database: a relaxed structure of Pm4DySe5 (PBE-GGA).

Results
Uncorrected formation energy = -41.788 kcal/mol of atoms
V = 257 Å³ per cell
DFT total energy = -5.915 eV per atom
Total magnetization = 0.000 μB per atom
Polymorph energy (0 for the lowest one) = 5 meV per atom

a b c (Å): 4.167 5.893 11.071
angles (deg): 105.43 100.85 90.00
Positions (direct):
Pm: 0.802 0.802 0.603
Se: 0.000 0.500 0.000
Dy: 0.000 0.000 0.000
Se: 0.596 0.096 0.192
Se: 0.201 0.701 0.402
Pm: 0.198 0.198 0.397
Se: 0.799 0.299 0.598
Se: 0.404 0.904 0.808
Pm: 0.601 0.601 0.201
Pm: 0.399 0.399 0.799

(2)
Entry from the Alexandria database: a relaxed structure of PmDy6Se8 (PBE-GGA).

Results
Uncorrected formation energy = -42.223 kcal/mol of atoms
V = 381 Å³ per cell
DFT total energy = -5.847 eV per atom
Total magnetization = 0.000 μB per atom
Polymorph energy (0 for the lowest one) = 0 meV per atom

a b c (Å): 8.136 8.136 8.136
angles (deg): 60.00 60.00 60.00
Positions (direct):
Pm: 0.000 0.000 0.000
Se: 0.750 0.750 0.750
Se: 0.741 0.741 0.259
Dy: 0.000 0.500 0.500
Dy: 0.500 0.000 0.000
Dy: 0.500 0.500 0.000
Dy: 0.500 0.000 0.500
Se: 0.250 0.250 0.250
Se: 0.741 0.259 0.259
Se: 0.259 0.741 0.259
Dy: 0.000 0.500 0.000
Dy: 0.000 0.000 0.500
Se: 0.259 0.259 0.741
Se: 0.259 0.741 0.741
Se: 0.741 0.259 0.741

(3)
Entry from the Alexandria database: a relaxed structure of Pm2Dy3Se6 (PBE-GGA).

Results
Uncorrected formation energy = -40.722 kcal/mol of atoms
V = 304 Å³ per cell
DFT total energy = -5.785 eV per atom
Total magnetization = 0.000 μB per atom
Polymorph energy (0 for the lowest one) = 112 meV per atom

a b c (Å): 4.176 4.176 20.286
angles (deg): 84.09 84.09 60.00
Positions (direct):
Se: 0.080 0.080 0.759
Se: 0.197 0.197 0.410
Se: 0.640 0.640 0.080
Dy: 0.000 0.000 0.000
Se: 0.803 0.803 0.590
Se: 0.360 0.360 0.920
Pm: 0.554 0.554 0.337
Pm: 0.446 0.446 0.663
Dy: 0.719 0.719 0.842
Se: 0.920 0.920 0.241
Dy: 0.281 0.281 0.158

(4)
Entry from the Alexandria database: a relaxed structure of Pm2DySe4 (PBE-GGA).

Results
Uncorrected formation energy = -42.203 kcal/mol of atoms
V = 390 Å³ per cell
DFT total energy = -5.836 eV per atom
Total magnetization = 0.000 μB per atom
Polymorph energy (0 for the lowest one) = 42 meV per atom

a b c (Å): 4.014 7.206 14.037
angles (deg): 90.00 90.00 106.17
Positions (direct):
Dy: 0.372 0.745 0.250
Se: 0.500 0.000 0.500
Se: 0.780 0.560 0.375
Pm: 0.130 0.260 0.071
Se: 0.220 0.440 0.875
Pm: 0.870 0.740 0.571
Pm: 0.130 0.260 0.429
Se: 0.978 0.956 0.750
Se: 0.220 0.440 0.625
Se: 0.780 0.560 0.125
Dy: 0.628 0.255 0.750
Se: 0.500 0.000 0.000
Pm: 0.870 0.740 0.929
Se: 0.022 0.044 0.250

(5)
Entry from the Alexandria database: a relaxed structure of PmDy2Se (PBE-GGA).

Results
Uncorrected formation energy = -18.626 kcal/mol of atoms
V = 119 Å³ per cell
DFT total energy = -5.168 eV per atom
Total magnetization = 0.142 μB per atom
Polymorph energy (0 for the lowest one) = 0 meV per atom

a b c (Å): 3.803 3.803 9.782
angles (deg): 78.79 78.79 60.00
Site moments in Bohr magnetons follow the coordinates.
Positions (direct):
Se: 0.667 0.667 0.000  0.00
Dy: 0.269 0.269 0.193  0.06
Pm: 0.500 0.500 0.501  0.16
Dy: 0.065 0.065 0.806  0.09

(6)
Entry from the Alexandria database: a relaxed structure of Pm2Dy2Se5 (PBE-GGA).

Results
Uncorrected formation energy = -40.555 kcal/mol of atoms
V = 445 Å³ per cell
DFT total energy = -5.773 eV per atom
Total magnetization = 0.000 μB per atom
Polymorph energy (0 for the lowest one) = 0 meV per atom

a b c (Å): 7.734 8.357 8.357
angles (deg): 124.59 90.00 90.00
Positions (direct):
Pm: 0.500 0.302 0.698
Se: 0.346 0.705 0.977
Dy: 0.343 0.151 0.151
Se: 0.846 0.795 0.523
Se: 0.500 0.500 0.500
Se: 0.154 0.477 0.205
Se: 0.846 0.523 0.795
Dy: 0.843 0.349 0.349
Se: 0.654 0.023 0.295
Pm: 0.500 0.698 0.302
Pm: 0.000 0.198 0.802
Dy: 0.157 0.651 0.651
Se: 0.346 0.977 0.705
Se: 0.154 0.205 0.477
Dy: 0.657 0.849 0.849
Pm: 0.000 0.802 0.198
Se: 0.654 0.295 0.023
Se: 0.000 0.000 0.000

(7)
Entry from the Alexandria database: a relaxed structure of Pm3Dy4Se8 (PBE-GGA).

Results
Uncorrected formation energy = -42.628 kcal/mol of atoms
V = 396 Å³ per cell
DFT total energy = -5.884 eV per atom
Total magnetization = 0.000 μB per atom

a b c (Å): 8.226 8.240 8.240
angles (deg): 90.03 119.91 119.91
Positions (direct):
Se: 0.000 0.250 0.750
Se: 0.993 0.247 0.247
Se: 0.500 0.753 0.753
Dy: 0.000 0.500 0.000
Pm: 0.500 0.000 0.500
Pm: 0.500 0.500 0.500
Se: 0.500 0.247 0.753
Se: 0.500 0.753 0.247
Dy: 0.000 0.000 0.500
Se: 0.500 0.247 0.247
Dy: 0.500 0.000 0.000
Pm: 0.500 0.500 0.000
Se: 0.007 0.753 0.753
Se: 0.000 0.750 0.250
Dy: 0.000 0.000 0.000

(8)
Entry from the Alexandria database: a relaxed structure of PmDy4Se5 (PBE-GGA).

Results
Uncorrected formation energy = -40.755 kcal/mol of atoms
V = 243 Å³ per cell
DFT total energy = -5.825 eV per atom
Total magnetization = 0.000 μB per atom
Polymorph energy (0 for the lowest one) = 0 meV per atom

a b c (Å): 4.096 7.114 9.151
angles (deg): 75.04 77.07 73.27
Positions (direct):
Dy: 0.204 0.392 0.200
Se: 0.203 0.901 0.693
Se: 0.605 0.687 0.104
Pm: 0.000 0.000 0.000
Dy: 0.796 0.608 0.800
Dy: 0.402 0.801 0.396
Se: 0.000 0.500 0.500
Dy: 0.598 0.199 0.604
Se: 0.797 0.099 0.307
Se: 0.395 0.313 0.896